# 1
# GGA-PBE MgScO2F, relaxed
data_MgScO2F
_space_group_name_H-M_alt 'P 1'
_space_group_IT_number 1
_cell_length_a 3.8964
_cell_length_b 3.8964
_cell_length_c 3.5917
_cell_angle_alpha 90.00
_cell_angle_beta 90.00
_cell_angle_gamma 90.00
loop_
_space_group_symop_operation_xyz
'x,y,z'
loop_
_atom_site_label
_atom_site_type_symbol
_atom_site_fract_x
_atom_site_fract_y
_atom_site_fract_z
Mg1 Mg 0.0000 0.0000 0.0000
Sc1 Sc 0.5000 0.5000 0.5000
O1 O 0.0000 0.5000 0.0000
O2 O 0.5000 0.0000 0.0000
F1 F 0.0000 0.0000 0.5000
# Volume: 10.9 A^3/atom
# Space group: P4/mmm
# E_form (uncorrected): -58.62 kcal/mol of atoms
# Raw total energy: -6.485 eV/atom

***

# 2
# GGA-PBE Sn6As2Se3Br, relaxed
data_Sn6As2Se3Br
_space_group_name_H-M_alt 'P 1'
_space_group_IT_number 1
_cell_length_a 9.6153
_cell_length_b 9.6153
_cell_length_c 8.5803
_cell_angle_alpha 101.81
_cell_angle_beta 101.81
_cell_angle_gamma 25.42
loop_
_space_group_symop_operation_xyz
'x,y,z'
loop_
_atom_site_label
_atom_site_type_symbol
_atom_site_fract_x
_atom_site_fract_y
_atom_site_fract_z
Sn1 Sn 0.0086 0.0086 0.2727
Sn2 Sn 0.3196 0.3196 0.8957
Sn3 Sn 0.3243 0.3243 0.4205
Sn4 Sn 0.6757 0.6757 0.5795
Sn5 Sn 0.6804 0.6804 0.1043
Sn6 Sn 0.9914 0.9914 0.7273
As1 As 0.1654 0.1654 0.3340
As2 As 0.8346 0.8346 0.6660
Se1 Se 0.1664 0.1664 0.8313
Se2 Se 0.5000 0.5000 0.5000
Se3 Se 0.8336 0.8336 0.1687
Br1 Br 0.5000 0.5000 0.0000
# Volume: 27.7 A^3/atom
# Space group: C2/m
# E_form (uncorrected): -6.66 kcal/mol of atoms
# Raw total energy: -4.076 eV/atom

***

The highest volume belongs to which entry? Sn6As2Se3Br

***

The lowest raw total energy belongs to which entry? MgScO2F

***

raw total energy of number 1 (MgScO2F)? -6.485 eV/atom

***

Which of these has the highest volume? Sn6As2Se3Br